(1)
DFT (PBE-GGA) results for an optimized crystal structure of K2BeAs2Au.

```
K2BeAs2Au
1.0
6.096 0.000 0.000
0.000 5.886 0.000
-3.048 -2.943 8.083
K Be As Au
4 2 4 2
Cartesian
1.331 0.000 2.762
1.717 2.943 5.322
-1.717 0.000 5.322
4.765 2.943 2.762
3.048 4.415 0.000
3.048 1.472 0.000
4.283 0.000 1.436
1.813 2.943 1.436
1.235 0.000 6.647
-1.235 2.943 6.647
0.000 4.415 0.000
0.000 1.472 0.000
```

- Space-group type: Ibam, No. 72
- E_form: -262.7 meV per atom

=====

(2)
DFT (PBE-GGA) results for an optimized crystal structure of LaBeAsAu2.

```
LaBeAsAu2
1.0
4.552 0.000 0.000
0.000 4.552 0.000
0.000 0.000 4.980
Be As Au La
1 1 2 1
Cartesian
0.000 0.000 0.000
0.000 0.000 2.490
0.000 2.276 0.000
2.276 0.000 0.000
2.276 2.276 2.490
```

- Space-group type: P4/mmm, No. 123
- E_form: -521.8 meV per atom

=====

(3)
DFT (PBE-GGA) results for an optimized crystal structure of NaBeAsAu.

```
NaBeAsAu
1.0
-1.834 -2.339 2.323
2.173 -2.857 -1.161
7.282 2.271 8.037
Na Be As Au
2 2 2 2
Cartesian
2.161 -3.302 2.975
5.460 0.377 6.223
-0.832 -2.469 1.452
1.171 -2.727 -0.290
6.618 -1.913 7.894
1.003 -1.013 1.304
4.812 -1.592 3.728
2.809 -1.333 5.470
```

- Space-group type: P4/nmm, No. 129
- E_form: -274.1 meV per atom

=====

(4)
DFT (PBE-GGA) results for an optimized crystal structure of BeAsOsAu2.

```
BeAsOsAu2
1.0
-1.606 3.791 1.588
-1.731 0.847 -3.774
-3.694 -2.079 1.228
Os As Au Be
1 1 2 1
Cartesian
-3.515 1.280 -0.480
-0.866 0.424 -1.887
-1.847 -1.039 0.614
-0.803 1.895 0.794
0.000 0.000 0.000
```

- Space-group type: P4/mmm, No. 123
- E_form: 960.2 meV per atom

=====

(5)
DFT (PBE-GGA) results for an optimized crystal structure of BeAsPbAu.

```
BeAsPbAu
1.0
-1.661 -1.881 2.950
2.806 -2.667 -0.120
5.996 5.985 7.192
Be As Pb Au
2 2 2 2
Cartesian
-0.544 -2.077 2.182
1.689 -2.470 0.647
6.131 1.852 8.446
1.010 -0.415 1.575
2.526 -1.746 4.122
4.615 3.184 5.899
4.687 0.522 4.243
2.453 0.915 5.778
```

- Space-group type: P4/nmm, No. 129
- E_form: -8.4 meV per atom

=====

(6)
DFT (PBE-GGA) results for an optimized crystal structure of BeAsPdAu2.

```
BeAsPdAu2
1.0
4.467 0.000 0.000
0.000 4.316 0.000
0.000 0.000 4.467
Be As Au Pd
1 1 2 1
Cartesian
0.000 0.000 0.000
0.000 2.158 0.000
0.000 0.000 2.234
2.234 0.000 0.000
2.234 2.158 2.234
```

- Space-group type: P4/mmm, No. 123
- E_form: 266.3 meV per atom

=====

(7)
DFT (PBE-GGA) results for an optimized crystal structure of BeAs2PdAu.

```
BeAs2PdAu
1.0
4.884 0.000 0.000
0.000 5.119 0.000
0.000 0.000 4.884
Be As Au Pd
1 2 1 1
Cartesian
2.442 2.560 2.442
0.000 0.000 2.442
2.442 0.000 0.000
0.000 0.000 0.000
0.000 2.560 0.000
```

- Space-group type: P4/mmm, No. 123
- E_form: 1186.3 meV per atom

=====

(8)
DFT (PBE-GGA) results for an optimized crystal structure of PuBeAsAu.

```
PuBeAsAu
1.0
-2.624 -1.067 -3.123
-2.718 -1.565 2.818
-3.909 7.865 0.597
Pu Be As Au
2 2 2 2
Cartesian
-4.531 5.600 1.894
-2.048 0.948 -1.449
-2.852 2.222 1.637
-3.728 4.327 -1.192
-4.685 6.253 -1.046
-1.895 0.296 1.491
-1.954 3.932 0.299
-4.625 2.616 0.146
```

- Space-group type: P4/nmm, No. 129
- E_form: -562.7 meV per atom

=====

(9)
DFT (PBE-GGA) results for an optimized crystal structure of Be2ReAsAu.

```
Be2ReAsAu
1.0
4.182 0.000 0.000
0.000 5.154 0.000
0.000 0.000 4.182
Re As Au Be
1 1 1 2
Cartesian
2.091 2.577 2.091
0.000 2.577 0.000
0.000 0.000 0.000
0.000 0.000 2.091
2.091 0.000 0.000
```

- Space-group type: P4/mmm, No. 123
- E_form: 1370.4 meV per atom

=====

(10)
DFT (PBE-GGA) results for an optimized crystal structure of Be2AsRhAu.

```
Be2AsRhAu
1.0
-0.835 -4.015 0.299
4.557 -1.107 -2.138
1.730 -0.082 3.729
Rh As Au Be
1 1 1 2
Cartesian
0.000 0.000 0.000
2.726 -2.602 0.945
2.278 -0.553 -1.069
0.865 -0.041 1.865
-0.418 -2.007 0.149
```

- Space-group type: P4/mmm, No. 123
- E_form: 606.3 meV per atom

=====

(11)
DFT (PBE-GGA) results for an optimized crystal structure of BeAs2AuSe.

```
BeAs2AuSe
1.0
-1.320 3.750 -2.078
-0.989 -2.383 -3.670
-4.330 -0.645 1.586
Be As Au Se
1 2 1 1
Cartesian
0.000 0.000 0.000
-0.495 -1.191 -1.835
-0.660 1.875 -1.039
-3.320 0.361 -2.081
-2.165 -0.323 0.793
```

- Space-group type: P4/mmm, No. 123
- Raw formation energy: 0.539 eV/atom
- Relative energy among the computed polymorphs: 0.0 meV per atom

=====

(12)
DFT (PBE-GGA) results for an optimized crystal structure of BeAs2AuSe.

```
BeAs2AuSe
1.0
-3.638 1.453 -3.105
1.753 -3.102 -3.506
-3.050 -3.769 1.810
Be As Au Se
1 2 1 1
Cartesian
-2.468 -2.709 -2.401
0.877 -1.551 -1.753
-1.819 0.727 -1.552
0.000 0.000 0.000
-1.525 -1.885 0.905
```

- Space-group type: P4/mmm, No. 123
- Raw formation energy: 1.236 eV/atom
- Relative energy among the computed polymorphs: 696.7 meV per atom

=====

- What is the formula in the first record?
  K2BeAs2Au